Material: Na2OsS2
Method: DFT, PBE-GGA
State: optimized geometry

- volume (Å³ per atom) = 21.47
- total DFT energy (no corrections) (eV/atom) = -4.82
- calculated density (Mg/m³) = 4.646
- magnetic moment (μB per formula unit) = 0.0

Cell lengths 13.5616, 17.4884, 3.6211 Å; angles 90.00, 90.00, 90.00 degrees
With the nearest neighbours (Å) after each atom.
Space group Fdd2 (No. 43)
Unique sites:
Na (0.0244, 0.3459, 0.0000) [16 per cell]  4 S 2.76-3.07, 1 Os 2.96
Os (0.0000, 0.0000, 0.8238) [8 per cell]  4 S 2.32-2.34
S (0.1078, 0.0033, 0.3204) [16 per cell]  2 Os 2.32-2.34